No. 1
Here is an optimized crystal structure of TbNdHo2 from Alexandria. Energies are from PBE.

Output
energy of formation from the pure elements	0.02	eV per atom
energy above the most stable polymorph in this dataset	0.023	eV per atom
DOS at the Fermi energy	1.363	states/eV/atom

Lattice parameters (Å, degrees): 3.574 3.574 10.097 90.00 90.00 90.00
Space group P4/mmm (No. 123)
Unique sites:
Tb (0.000, 0.000, 0.000) x1
Nd (0.000, 0.000, 0.500) x1
Ho (0.500, 0.500, 0.246) x2



No. 2
Here is an optimized crystal structure of KAuCl2 from Alexandria. Energies are from PBE.

Output
energy above the most stable polymorph in this dataset	0.163	eV per atom

Lattice parameters (Å, degrees): 13.736 4.243 4.526 90.00 99.26 90.00
Space group Cm (No. 8)
Unique sites:
K (0.000, 0.000, 0.000) x2
Au (0.223, 0.500, 0.776) x2
Cl (0.050, 0.500, 0.524) x2
Cl (0.312, 0.000, 0.930) x2



No. 3
Here is an optimized crystal structure of V2Cu2Hg from Alexandria. Energies are from PBE.

Output
energy of formation from the pure elements	0.35	eV per atom
energy above the most stable polymorph in this dataset	0.000	eV per atom
DOS at the Fermi energy	0.647	states/eV/atom

Lattice parameters (Å, degrees): 7.037 7.037 2.931 90.00 90.00 90.00
Space group P4/mbm (No. 127)
Unique sites:
V (0.169, 0.331, 0.000) x4
Cu (0.124, 0.624, 0.500) x4
Hg (0.000, 0.000, 0.500) x2